Record 1
The following is a DFT calculation (PBE) of PaZnIO6 after structural relaxation.

Values from the calculation:
M_tot: 0.00 μB per cell
total DFT energy (no corrections): -56.43 eV/f.u.
raw formation energy: -1.60 eV per atom
symmetry: No. 163

Unit cell a=5.660 b=5.660 c=8.966 alpha=90.00 beta=90.00 gamma=120.00
Fractional positions:
1 I 0.333 0.667 0.750
2 I 0.667 0.333 0.250
3 Pa 0.333 0.667 0.250
4 O 0.009 0.666 0.870
5 Zn 0.000 0.000 0.500
6 Zn 0.000 0.000 0.000
7 O 0.334 0.991 0.630
8 O 0.657 0.991 0.870
9 Pa 0.667 0.333 0.750
10 O 0.991 0.657 0.370
11 O 0.666 0.009 0.370
12 O 0.334 0.343 0.870
13 O 0.991 0.334 0.130
14 O 0.343 0.009 0.130
15 O 0.009 0.343 0.630
16 O 0.343 0.334 0.370
17 O 0.666 0.657 0.130
18 O 0.657 0.666 0.630

Record 2
The following is a DFT calculation (PBE) of Pb3I2O2 after structural relaxation.

Values from the calculation:
offset from the most stable computed form: 129 meV/atom
M_tot: 0.00 μB per cell
total DFT energy (no corrections): -30.03 eV/f.u.
raw formation energy: -0.84 eV per atom
symmetry: No. 14

Unit cell a=7.844 b=8.802 c=7.281 alpha=90.00 beta=64.56 gamma=90.00
Fractional positions:
1 Pb 0.307 0.385 0.575
2 Pb 0.500 0.500 0.000
3 I 0.931 0.649 0.821
4 Pb 0.693 0.615 0.425
5 O 0.455 0.565 0.341
6 O 0.955 0.935 0.341
7 I 0.431 0.851 0.821
8 O 0.045 0.065 0.659
9 Pb 0.000 0.000 0.000
10 I 0.569 0.149 0.179
11 I 0.069 0.351 0.179
12 O 0.545 0.435 0.659
13 Pb 0.807 0.115 0.575
14 Pb 0.193 0.885 0.425